No. 1
Density functional theory data (PBE) for an optimized crystal structure of LaHoCd.

abc: 7.3367 7.3367 7.3367
angles: 90.00 90.00 90.00
Fractional positions:
La (0.0000, 0.0000, 0.0000)
La (0.0000, 0.5000, 0.5000)
La (0.5000, 0.0000, 0.5000)
La (0.5000, 0.5000, 0.0000)
Ho (0.2500, 0.2500, 0.7500)
Ho (0.2500, 0.7500, 0.2500)
Ho (0.7500, 0.2500, 0.2500)
Ho (0.7500, 0.7500, 0.7500)
Cd (0.2500, 0.2500, 0.2500)
Cd (0.2500, 0.7500, 0.7500)
Cd (0.7500, 0.2500, 0.7500)
Cd (0.7500, 0.7500, 0.2500)

Results
Symmetry: F-43m (216)
E_tot in eV per atom: -3.0057
Calculated formation energy in meV per atom: 459

---

No. 2
Density functional theory data (PBE) for an optimized crystal structure of La2HoMg3Tl2Cd.

abc: 4.7617 7.6862 7.6862
angles: 118.99 90.00 90.00
Fractional positions:
La (0.0000, 0.2113, 0.7887)
La (0.0000, 0.7887, 0.2113)
Ho (0.0000, 0.6346, 0.6346)
Mg (0.5000, 0.2154, 0.4528)
Mg (0.5000, 0.4528, 0.2154)
Mg (0.5000, 0.9759, 0.9759)
Tl (0.5000, 0.5499, 0.8717)
Tl (0.5000, 0.8717, 0.5499)
Cd (0.0000, 0.2246, 0.2246)

Results
Symmetry: Amm2 (38)
E_tot in eV per atom: -3.0888

---

No. 3
Density functional theory data (PBE) for an optimized crystal structure of LiHoMgCd.

abc: 7.0496 7.0496 7.0496
angles: 90.00 90.00 90.00
Fractional positions:
Li (0.0000, 0.0000, 0.0000)
Li (0.0000, 0.5000, 0.5000)
Li (0.5000, 0.0000, 0.5000)
Li (0.5000, 0.5000, 0.0000)
Ho (0.2500, 0.2500, 0.7500)
Ho (0.2500, 0.7500, 0.2500)
Ho (0.7500, 0.2500, 0.2500)
Ho (0.7500, 0.7500, 0.7500)
Mg (0.2500, 0.2500, 0.2500)
Mg (0.2500, 0.7500, 0.7500)
Mg (0.7500, 0.2500, 0.7500)
Mg (0.7500, 0.7500, 0.2500)
Cd (0.0000, 0.0000, 0.5000)
Cd (0.0000, 0.5000, 0.0000)
Cd (0.5000, 0.0000, 0.0000)
Cd (0.5000, 0.5000, 0.5000)

Results
Symmetry: F-43m (216)
E_tot in eV per atom: -2.4316

---

No. 4
Density functional theory data (PBE) for an optimized crystal structure of LiHoCdS3.

abc: 12.3771 3.9439 11.4414
angles: 90.00 90.00 90.00
Fractional positions:
Li (0.2288, 0.2500, 0.0379)
Li (0.2712, 0.7500, 0.5379)
Li (0.7288, 0.2500, 0.4621)
Li (0.7712, 0.7500, 0.9621)
Ho (0.0046, 0.7500, 0.1489)
Ho (0.4954, 0.2500, 0.6489)
Ho (0.5046, 0.7500, 0.3511)
Ho (0.9954, 0.2500, 0.8511)
Cd (0.0302, 0.2500, 0.4031)
Cd (0.4698, 0.7500, 0.9031)
Cd (0.5302, 0.2500, 0.0969)
Cd (0.9698, 0.7500, 0.5969)
S (0.1075, 0.2500, 0.6167)
S (0.1218, 0.7500, 0.9473)
S (0.1378, 0.2500, 0.2238)
S (0.3622, 0.7500, 0.7238)
S (0.3782, 0.2500, 0.4473)
S (0.3925, 0.7500, 0.1167)
S (0.6075, 0.2500, 0.8833)
S (0.6218, 0.7500, 0.5527)
S (0.6378, 0.2500, 0.2762)
S (0.8622, 0.7500, 0.7762)
S (0.8782, 0.2500, 0.0527)
S (0.8925, 0.7500, 0.3833)

Results
Symmetry: Pnma (62)
E_tot in eV per atom: -4.5935

---

No. 5
Density functional theory data (PBE) for an optimized crystal structure of LiHoCdS3.

abc: 6.5620 6.5620 10.7992
angles: 90.00 90.00 145.16
Fractional positions:
Li (0.2461, 0.7539, 0.7500)
Li (0.7539, 0.2461, 0.2500)
Ho (0.5000, 0.5000, 0.0000)
Ho (0.5000, 0.5000, 0.5000)
Cd (0.0299, 0.9701, 0.2500)
Cd (0.9701, 0.0299, 0.7500)
S (0.1409, 0.8591, 0.0616)
S (0.1409, 0.8591, 0.4384)
S (0.4000, 0.6000, 0.2500)
S (0.6000, 0.4000, 0.7500)
S (0.8591, 0.1409, 0.5616)
S (0.8591, 0.1409, 0.9384)

Results
Symmetry: Cmcm (63)
E_tot in eV per atom: -4.5273

---

No. 6
Density functional theory data (PBE) for an optimized crystal structure of HoLuCd.

abc: 7.1557 7.1557 7.1557
angles: 90.00 90.00 90.00
Fractional positions:
Ho (0.0000, 0.0000, 0.0000)
Ho (0.0000, 0.5000, 0.5000)
Ho (0.5000, 0.0000, 0.5000)
Ho (0.5000, 0.5000, 0.0000)
Lu (0.2500, 0.2500, 0.7500)
Lu (0.2500, 0.7500, 0.2500)
Lu (0.7500, 0.2500, 0.2500)
Lu (0.7500, 0.7500, 0.7500)
Cd (0.0000, 0.0000, 0.5000)
Cd (0.0000, 0.5000, 0.0000)
Cd (0.5000, 0.0000, 0.0000)
Cd (0.5000, 0.5000, 0.5000)

Results
Symmetry: F-43m (216)
E_tot in eV per atom: -2.8089
Calculated formation energy in meV per atom: 523

---

No. 7
Density functional theory data (PBE) for an optimized crystal structure of HoMgCd.

abc: 7.0995 7.0995 7.0995
angles: 90.00 90.00 90.00
Fractional positions:
Ho (0.0000, 0.0000, 0.0000)
Ho (0.0000, 0.5000, 0.5000)
Ho (0.5000, 0.0000, 0.5000)
Ho (0.5000, 0.5000, 0.0000)
Mg (0.2500, 0.2500, 0.7500)
Mg (0.2500, 0.7500, 0.2500)
Mg (0.7500, 0.2500, 0.2500)
Mg (0.7500, 0.7500, 0.7500)
Cd (0.2500, 0.2500, 0.2500)
Cd (0.2500, 0.7500, 0.7500)
Cd (0.7500, 0.2500, 0.7500)
Cd (0.7500, 0.7500, 0.2500)

Results
Symmetry: F-43m (216)
E_tot in eV per atom: -1.9756

---

No. 8
Density functional theory data (PBE) for an optimized crystal structure of HoMgCd.

abc: 6.8911 6.8911 6.8911
angles: 90.00 90.00 90.00
Fractional positions:
Ho (0.0000, 0.0000, 0.0000)
Ho (0.0000, 0.5000, 0.5000)
Ho (0.5000, 0.0000, 0.5000)
Ho (0.5000, 0.5000, 0.0000)
Mg (0.2500, 0.2500, 0.7500)
Mg (0.2500, 0.7500, 0.2500)
Mg (0.7500, 0.2500, 0.2500)
Mg (0.7500, 0.7500, 0.7500)
Cd (0.0000, 0.0000, 0.5000)
Cd (0.0000, 0.5000, 0.0000)
Cd (0.5000, 0.0000, 0.0000)
Cd (0.5000, 0.5000, 0.5000)

Results
Symmetry: F-43m (216)
E_tot in eV per atom: -2.1582

---

No. 9
Density functional theory data (PBE) for an optimized crystal structure of HoMgCdP2.

abc: 4.2331 4.2331 6.7759
angles: 90.00 90.00 120.00
Fractional positions:
Ho (0.0000, 0.0000, 0.0000)
Mg (0.3333, 0.6667, 0.3573)
Cd (0.6667, 0.3333, 0.6370)
P (0.3333, 0.6667, 0.7566)
P (0.6667, 0.3333, 0.2310)

Results
Symmetry: P3m1 (156)
E_tot in eV per atom: -4.2594

---

No. 10
Density functional theory data (PBE) for an optimized crystal structure of Ho3Mg3CdPd2.

abc: 7.5414 7.5414 4.1086
angles: 90.00 90.00 120.00
Fractional positions:
Ho (0.0000, 0.4217, 0.0000)
Ho (0.4217, 0.0000, 0.0000)
Ho (0.5783, 0.5783, 0.0000)
Mg (0.0000, 0.7425, 0.5000)
Mg (0.2575, 0.2575, 0.5000)
Mg (0.7425, 0.0000, 0.5000)
Cd (0.0000, 0.0000, 0.0000)
Pd (0.3333, 0.6667, 0.5000)
Pd (0.6667, 0.3333, 0.5000)

Results
Symmetry: P-62m (189)
E_tot in eV per atom: -3.8085

---

No. 11
Density functional theory data (PBE) for an optimized crystal structure of PrHo2Mg3Tl2Cd.

abc: 4.6713 7.6379 7.6379
angles: 120.85 90.00 90.00
Fractional positions:
Pr (0.0000, 0.0000, 0.0000)
Ho (0.0000, 0.4248, 0.8496)
Ho (0.0000, 0.8496, 0.4248)
Mg (0.5000, 0.1885, 0.4275)
Mg (0.5000, 0.4275, 0.1885)
Mg (0.5000, 0.6667, 0.6667)
Tl (0.5000, 0.0949, 0.7536)
Tl (0.5000, 0.7536, 0.0949)
Cd (0.0000, 0.4362, 0.4362)

Results
Symmetry: Amm2 (38)
E_tot in eV per atom: -3.0143

---

No. 12
Density functional theory data (PBE) for an optimized crystal structure of Pr2HoMg3Tl2Cd.

abc: 4.7186 7.6378 7.6378
angles: 119.16 90.00 90.00
Fractional positions:
Pr (0.0000, 0.2113, 0.7887)
Pr (0.0000, 0.7887, 0.2113)
Ho (0.0000, 0.6340, 0.6340)
Mg (0.5000, 0.2145, 0.4530)
Mg (0.5000, 0.4530, 0.2145)
Mg (0.5000, 0.9759, 0.9759)
Tl (0.5000, 0.5487, 0.8727)
Tl (0.5000, 0.8727, 0.5487)
Cd (0.0000, 0.2234, 0.2234)

Results
Symmetry: Amm2 (38)
E_tot in eV per atom: -3.0492

---

No. 13
Density functional theory data (PBE) for an optimized crystal structure of Ho3Mg3Cd2Pt.

abc: 7.5844 7.5844 4.2823
angles: 90.00 90.00 120.00
Fractional positions:
Ho (0.0000, 0.6065, 0.0000)
Ho (0.3935, 0.3935, 0.0000)
Ho (0.6065, 0.0000, 0.0000)
Mg (0.0000, 0.2351, 0.5000)
Mg (0.2351, 0.0000, 0.5000)
Mg (0.7649, 0.7649, 0.5000)
Cd (0.3333, 0.6667, 0.5000)
Cd (0.6667, 0.3333, 0.5000)
Pt (0.0000, 0.0000, 0.0000)

Results
Symmetry: P-62m (189)
E_tot in eV per atom: -3.3716

---

No. 14
Density functional theory data (PBE) for an optimized crystal structure of Ho3Mg3CdPt2.

abc: 7.5052 7.5052 4.0962
angles: 90.00 90.00 120.00
Fractional positions:
Ho (0.0000, 0.5772, 0.0000)
Ho (0.4228, 0.4228, 0.0000)
Ho (0.5772, 0.0000, 0.0000)
Mg (0.0000, 0.2584, 0.5000)
Mg (0.2584, 0.0000, 0.5000)
Mg (0.7416, 0.7416, 0.5000)
Cd (0.0000, 0.0000, 0.0000)
Pt (0.3333, 0.6667, 0.5000)
Pt (0.6667, 0.3333, 0.5000)

Results
Symmetry: P-62m (189)
E_tot in eV per atom: -4.1846

---

No. 15
Density functional theory data (PBE) for an optimized crystal structure of Sm2HoMg3Tl2Cd.

abc: 4.6735 7.5814 7.5814
angles: 119.25 90.00 90.00
Fractional positions:
Sm (0.0000, 0.2117, 0.7883)
Sm (0.0000, 0.7883, 0.2117)
Ho (0.0000, 0.6369, 0.6369)
Mg (0.5000, 0.2132, 0.4537)
Mg (0.5000, 0.4537, 0.2132)
Mg (0.5000, 0.9762, 0.9762)
Tl (0.5000, 0.5476, 0.8760)
Tl (0.5000, 0.8760, 0.5476)
Cd (0.0000, 0.2203, 0.2203)

Results
Symmetry: Amm2 (38)
E_tot in eV per atom: -3.0334

---

No. 16
Density functional theory data (PBE) for an optimized crystal structure of SmHo2Mg3Tl2Cd.

abc: 4.6415 7.5956 7.5956
angles: 120.81 90.00 90.00
Fractional positions:
Sm (0.0000, 0.0000, 0.0000)
Ho (0.0000, 0.4249, 0.8504)
Ho (0.0000, 0.8504, 0.4249)
Mg (0.5000, 0.1880, 0.4269)
Mg (0.5000, 0.4269, 0.1880)
Mg (0.5000, 0.6671, 0.6671)
Tl (0.5000, 0.0944, 0.7549)
Tl (0.5000, 0.7549, 0.0944)
Cd (0.0000, 0.4344, 0.4344)

Results
Symmetry: Amm2 (38)
E_tot in eV per atom: -3.0068

---

No. 17
Density functional theory data (PBE) for an optimized crystal structure of Ho3Mg3Tl2Cd.

abc: 7.5274 7.5274 4.6106
angles: 90.00 90.00 120.00
Fractional positions:
Ho (0.0000, 0.4292, 0.0000)
Ho (0.4292, 0.0000, 0.0000)
Ho (0.5708, 0.5708, 0.0000)
Mg (0.0000, 0.7612, 0.5000)
Mg (0.2388, 0.2388, 0.5000)
Mg (0.7612, 0.0000, 0.5000)
Tl (0.3333, 0.6667, 0.5000)
Tl (0.6667, 0.3333, 0.5000)
Cd (0.0000, 0.0000, 0.0000)

Results
Symmetry: P-62m (189)
E_tot in eV per atom: -2.9804

---

No. 18
Density functional theory data (PBE) for an optimized crystal structure of Ho2TmMg3Tl2Cd.

abc: 4.5986 7.5150 7.5150
angles: 119.82 90.00 90.00
Fractional positions:
Ho (0.0000, 0.2137, 0.7863)
Ho (0.0000, 0.7863, 0.2137)
Tm (0.0000, 0.6407, 0.6407)
Mg (0.5000, 0.2140, 0.4541)
Mg (0.5000, 0.4541, 0.2140)
Mg (0.5000, 0.9744, 0.9744)
Tl (0.5000, 0.5475, 0.8795)
Tl (0.5000, 0.8795, 0.5475)
Cd (0.0000, 0.2158, 0.2158)

Results
Symmetry: Amm2 (38)
E_tot in eV per atom: -2.9609

---

No. 19
Density functional theory data (PBE) for an optimized crystal structure of Y2HoMg3Tl2Cd.

abc: 4.6176 7.5465 7.5465
angles: 119.96 90.00 90.00
Fractional positions:
Y (0.0000, 0.2122, 0.7878)
Y (0.0000, 0.7878, 0.2122)
Ho (0.0000, 0.3636, 0.3636)
Mg (0.5000, 0.0276, 0.0276)
Mg (0.5000, 0.5481, 0.7878)
Mg (0.5000, 0.7878, 0.5481)
Tl (0.5000, 0.1214, 0.4544)
Tl (0.5000, 0.4544, 0.1214)
Cd (0.0000, 0.7876, 0.7876)

Results
Symmetry: Amm2 (38)
E_tot in eV per atom: -3.4235

---

No. 20
Density functional theory data (PBE) for an optimized crystal structure of YHo2Mg3Tl2Cd.

abc: 4.6122 7.5401 7.5401
angles: 120.04 90.00 90.00
Fractional positions:
Y (0.0000, 0.0000, 0.0000)
Ho (0.0000, 0.1513, 0.5756)
Ho (0.0000, 0.5756, 0.1513)
Mg (0.5000, 0.3360, 0.3360)
Mg (0.5000, 0.5756, 0.8154)
Mg (0.5000, 0.8154, 0.5756)
Tl (0.5000, 0.2425, 0.9089)
Tl (0.5000, 0.9089, 0.2425)
Cd (0.0000, 0.5754, 0.5754)

Results
Symmetry: Amm2 (38)
E_tot in eV per atom: -3.2018

---

No. 21
Density functional theory data (PBE) for an optimized crystal structure of HoCdMo.

abc: 6.8236 6.8236 6.8236
angles: 90.00 90.00 90.00
Fractional positions:
Ho (0.0000, 0.0000, 0.0000)
Ho (0.0000, 0.5000, 0.5000)
Ho (0.5000, 0.0000, 0.5000)
Ho (0.5000, 0.5000, 0.0000)
Cd (0.2500, 0.2500, 0.7500)
Cd (0.2500, 0.7500, 0.2500)
Cd (0.7500, 0.2500, 0.2500)
Cd (0.7500, 0.7500, 0.7500)
Mo (0.2500, 0.2500, 0.2500)
Mo (0.2500, 0.7500, 0.7500)
Mo (0.7500, 0.2500, 0.7500)
Mo (0.7500, 0.7500, 0.2500)

Results
Symmetry: F-43m (216)
E_tot in eV per atom: -4.3065
Calculated formation energy in meV per atom: 1134

---

No. 22
Density functional theory data (PBE) for an optimized crystal structure of HoCdMo.

abc: 6.7610 6.7610 6.7610
angles: 90.00 90.00 90.00
Fractional positions:
Ho (0.0000, 0.0000, 0.0000)
Ho (0.0000, 0.5000, 0.5000)
Ho (0.5000, 0.0000, 0.5000)
Ho (0.5000, 0.5000, 0.0000)
Cd (0.0000, 0.0000, 0.5000)
Cd (0.0000, 0.5000, 0.0000)
Cd (0.5000, 0.0000, 0.0000)
Cd (0.5000, 0.5000, 0.5000)
Mo (0.2500, 0.2500, 0.7500)
Mo (0.2500, 0.7500, 0.2500)
Mo (0.7500, 0.2500, 0.2500)
Mo (0.7500, 0.7500, 0.7500)

Results
Symmetry: F-43m (216)
E_tot in eV per atom: -4.6202
Calculated formation energy in meV per atom: 820

---

No. 23
Density functional theory data (PBE) for an optimized crystal structure of Ho3CdN.

abc: 4.7863 4.7863 4.7863
angles: 90.00 90.00 90.00
Fractional positions:
Ho (0.0000, 0.0000, 0.5000)
Ho (0.0000, 0.5000, 0.0000)
Ho (0.5000, 0.0000, 0.0000)
Cd (0.5000, 0.5000, 0.5000)
N (0.0000, 0.0000, 0.0000)

Results
Symmetry: Pm-3m (221)
E_tot in eV per atom: -5.4552

---

No. 24
Density functional theory data (PBE) for an optimized crystal structure of NaHoCdS3.

abc: 6.9209 6.9209 10.7233
angles: 90.00 90.00 146.32
Fractional positions:
Na (0.2427, 0.7573, 0.7500)
Na (0.7573, 0.2427, 0.2500)
Ho (0.5000, 0.5000, 0.0000)
Ho (0.5000, 0.5000, 0.5000)
Cd (0.0389, 0.9611, 0.2500)
Cd (0.9611, 0.0389, 0.7500)
S (0.1352, 0.8648, 0.0528)
S (0.1352, 0.8648, 0.4472)
S (0.4186, 0.5814, 0.2500)
S (0.5814, 0.4186, 0.7500)
S (0.8648, 0.1352, 0.5528)
S (0.8648, 0.1352, 0.9472)

Results
Symmetry: Cmcm (63)
E_tot in eV per atom: -4.4907